# 1
! Ac2La7Tb2 (GGA-PBE, relaxed); values from VASP
&SYSTEM
  ibrav = 0, nat = 11, ntyp = 3
/
ATOMIC_SPECIES
La 138.91 La.upf
Tb 158.93 Tb.upf
Ac 227.00 Ac.upf
CELL_PARAMETERS angstrom
-2.810 -5.628 0.441
7.372 -1.582 -3.704
3.784 1.082 7.422
ATOMIC_POSITIONS angstrom
La 6.710 -4.874 -0.209
La 3.603 -2.713 -1.729
La 5.542 -1.976 2.261
Tb 6.558 -0.977 -1.179
Ac 6.146 -5.434 3.283
La -1.405 -2.814 0.221
La 4.743 -3.415 5.888
Ac 2.201 -0.693 0.876
La 1.637 -1.253 4.368
Tb 4.598 0.478 4.897
La 2.804 -4.151 1.898
! V (Å³/cell): 414.73
! Final energy (eV per atom): -4.60
! Symmetry: C2/m, No. 12

# 2
! TbBe2Si2Tc (GGA-PBE, relaxed); values from VASP
&SYSTEM
  ibrav = 0, nat = 6, ntyp = 4
/
ATOMIC_SPECIES
Be 9.01 Be.upf
Si 28.09 Si.upf
Tb 158.93 Tb.upf
Tc 98.00 Tc.upf
CELL_PARAMETERS angstrom
-2.808 1.204 -2.401
-0.893 -2.157 3.107
-0.726 5.494 3.605
ATOMIC_POSITIONS angstrom
Be -1.771 0.777 2.461
Si -2.379 1.672 0.477
Tb 0.000 0.000 0.000
Si -2.047 2.869 3.834
Tc -0.363 2.747 1.802
Be -2.656 3.764 1.850
! V (Å³/cell): 86.44
! Final energy (eV per atom): -5.96
! Energy relative to the elements, uncorrected (eV per atom): -0.4125
! Symmetry: P-3m1, No. 164